{
  "formula": "YTaBeFe",
  "functional": "GGA-PBE",
  "state": "relaxed",
  "relative_energy_mev_per_atom": 487,
  "lattice_angstrom": [[2.6409, -2.4961, 2.5939], [-1.7961, -2.7624, 3.0127], [0.2067, -4.4168, -0.6184]],
  "species": ["Be", "Y", "Ta", "Fe"],
  "fractional_positions": [[0.7500, 0.7500, 0.7500], [0.2500, 0.2500, 0.2500], [0.5000, 0.5000, 0.5000], [0.0000, 0.0000, 0.0000]]
}

***

{
  "formula": "Be2FeTc",
  "functional": "GGA-PBE",
  "state": "relaxed",
  "dft_energy_ev_per_cell": -26.52,
  "lattice_angstrom": [[1.0198, 2.6214, 2.6791], [-1.9765, 0.2380, 3.3356], [1.6485, -1.1577, 3.3213]],
  "species": ["Tc", "Fe", "Be", "Be"],
  "fractional_positions": [[0.2500, 0.2500, 0.2500], [0.0000, 0.0000, 0.0000], [0.5000, 0.5000, 0.5000], [0.7500, 0.7500, 0.7500]]
}

***

{
  "formula": "BeFe2Tc",
  "functional": "GGA-PBE",
  "state": "relaxed",
  "dft_energy_ev_per_cell": -30.74,
  "lattice_angstrom": [[0.0000, 2.8107, 2.8107], [2.8107, 0.0000, 2.8107], [2.8107, 2.8107, 0.0000]],
  "species": ["Tc", "Fe", "Fe", "Be"],
  "fractional_positions": [[0.2500, 0.2500, 0.2500], [0.0000, 0.0000, 0.0000], [0.7500, 0.7500, 0.7500], [0.5000, 0.5000, 0.5000]]
}

***

{
  "formula": "BeFeTc",
  "functional": "GGA-PBE",
  "state": "relaxed",
  "relative_energy_mev_per_atom": 0,
  "lattice_angstrom": [[0.0000, 2.6684, 2.6684], [2.6684, 0.0000, 2.6684], [2.6684, 2.6684, 0.0000]],
  "species": ["Tc", "Fe", "Be"],
  "fractional_positions": [[0.7500, 0.7500, 0.7500], [0.0000, 0.0000, 0.0000], [0.2500, 0.2500, 0.2500]]
}

***

| no. | magnetic moment (μB/f.u.) |
| --- | --- |
| 1 | 0.07 |
| 2 | 0.05 |
| 3 | 3.23 |
| 4 | 0.59 |